Compound: NaCr3P
Source: the Alexandria database
Functional: GGA-PBE
Structure: relaxed

Lattice parameters (Å, degrees): 4.546 4.546 4.546 90.00 90.00 90.00
Atoms (fractional coordinates):
Cr: 0.000 0.500 0.000
Cr: 0.000 0.000 0.500
Cr: 0.500 0.000 0.000
Na: 0.500 0.500 0.500
P: 0.000 0.000 0.000

Properties
formation energy = 0.658 eV/atom
energy above the lowest structure with this stoichiometry = 0 meV per atom
crystal system = cubic

---

Compound: Ag2BiAsSe4
Source: the Alexandria database
Functional: GGA-PBE
Structure: relaxed

Lattice parameters (Å, degrees): 8.120 8.120 8.247 120.52 120.52 89.84
Atoms (fractional coordinates):
Ag: 0.500 0.000 0.000
Ag: 0.500 0.000 0.500
Ag: 0.000 0.000 0.500
Ag: 0.500 0.500 0.000
Bi: 0.000 0.500 0.000
Bi: 0.000 0.500 0.500
As: 0.500 0.500 0.500
As: 0.000 0.000 0.000
Se: 0.255 0.767 0.011
Se: 0.733 0.245 0.489
Se: 0.267 0.755 0.511
Se: 0.745 0.233 0.989
Se: 0.744 0.756 0.986
Se: 0.744 0.756 0.514
Se: 0.256 0.244 0.486
Se: 0.256 0.244 0.014

Properties
formation energy without anion corrections = -0.151 eV/atom
crystal system = orthorhombic

---

Compound: Y12Pd6Pt
Source: the Alexandria database
Functional: GGA-PBE
Structure: relaxed

Lattice parameters (Å, degrees): 8.282 8.282 8.282 99.40 99.40 99.40
Atoms (fractional coordinates):
Y: 0.819 0.586 0.428
Y: 0.428 0.819 0.586
Y: 0.586 0.428 0.819
Y: 0.181 0.414 0.572
Y: 0.572 0.181 0.414
Y: 0.414 0.572 0.181
Y: 0.082 0.955 0.324
Y: 0.045 0.676 0.918
Y: 0.676 0.918 0.045
Y: 0.918 0.045 0.676
Y: 0.955 0.324 0.082
Y: 0.324 0.082 0.955
Pd: 0.685 0.868 0.379
Pd: 0.621 0.315 0.132
Pd: 0.132 0.621 0.315
Pd: 0.315 0.132 0.621
Pd: 0.379 0.685 0.868
Pd: 0.868 0.379 0.685
Pt: 0.000 0.000 0.000

Properties
formation energy = -0.579 eV/atom
crystal system = trigonal

---

Compound: CaP2PtCl
Source: the Alexandria database
Functional: GGA-PBE
Structure: relaxed

Lattice parameters (Å, degrees): 4.506 4.506 6.260 90.00 90.00 90.00
Atoms (fractional coordinates):
P: 0.000 0.500 0.000
P: 0.500 0.000 0.000
Ca: 0.500 0.500 0.500
Pt: 0.000 0.000 0.000
Cl: 0.000 0.000 0.500

Properties
formation energy without anion corrections = -0.262 eV/atom
energy above the lowest structure with this stoichiometry = 0 meV per atom
crystal system = tetragonal

---

Number 1: density 3.71 g/cm³. Number 2: density 7.15 g/cm³. Number 3: density 5.82 g/cm³. Number 4: density 4.34 g/cm³.